## Al4Bi2O9 (GGA-PBEsol)

Data for a geometry-optimized Al4Bi2O9 structure.

Computed properties:
Fermi-level density of states = 0.000 states/eV/atom
magnetic moment = 0.0 μB/f.u.
formation energy from raw total energies = -2.47 eV per atom
uncorrected energy = -7.284 eV/atom
ρ = 6.23 g/cm3

Cell and atoms, written as CIF:
```
data_Al4Bi2O9
_space_group_name_H-M_alt 'P b a m'
_space_group_IT_number 55
_cell_length_a 7.673
_cell_length_b 8.161
_cell_length_c 5.707
_cell_angle_alpha 90.00
_cell_angle_beta 90.00
_cell_angle_gamma 90.00
loop_
_space_group_symop_operation_xyz
'x,y,z'
'-x,-y,-z'
'-x,-y,z'
'x,y,-z'
'x+1/2,-y+1/2,-z'
'-x+1/2,y+1/2,z'
'-x+1/2,y+1/2,-z'
'x+1/2,-y+1/2,z'
loop_
_atom_site_label
_atom_site_type_symbol
_atom_site_fract_x
_atom_site_fract_y
_atom_site_fract_z
Al1 Al 0.000 0.000 0.240
Al2 Al 0.148 0.337 0.000
Bi1 Bi 0.165 0.668 0.500
O1 O 0.000 0.500 0.000
O2 O 0.124 0.207 0.251
O3 O 0.137 0.913 0.000
O4 O 0.146 0.934 0.500
```